Density functional theory data (PBE) for an optimized crystal structure of Nb2CoPtN.

Lattice parameters (Å, degrees): 4.2550 4.2550 3.7903 90.00 90.00 90.00
With the nearest neighbours (Å) after each atom.
Fractional coordinates of all 5 atoms:
Nb1 0.0000 0.5000 0.0000  2 N 2.13
Nb2 0.5000 0.0000 0.0000  2 N 2.13
Co1 0.0000 0.0000 0.5000  2 N 1.90
Pt1 0.5000 0.5000 0.5000  8 Nb 2.85, 4 Co 3.01
N1 0.0000 0.0000 0.0000  2 Co 1.90

Summary:
The value obtained for the excess energy over the best structure of this formula in the dataset is 0 meV/atom. Its symmetry is P4/mmm (123). The uncorrected formation energy is -0.574 eV per atom.